(1)
Here is crystalline HRuO2F at its relaxed geometry from the Alexandria database. Energies are from PBE.

Cell: 3.736 3.736 4.183 Å, 90.00 90.00 90.00°
Atoms (fractional coordinates):
1 H 0.000 0.000 0.000
2 Ru 0.500 0.500 0.500
3 O 0.000 0.500 0.500
4 O 0.500 0.000 0.500
5 F 0.500 0.500 0.000

**Space-group type**: No. 123

=====

(2)
Here is crystalline SbH3SO4F6 at its relaxed geometry from the Alexandria database. Energies are from PBE.

Cell: 5.352 8.161 9.915 Å, 88.28 76.23 89.89°
Atoms (fractional coordinates):
1 Sb 0.126 0.257 0.318
2 Sb 0.874 0.743 0.682
3 H 0.179 0.021 0.808
4 H 0.202 0.460 0.821
5 H 0.390 0.732 0.416
6 H 0.610 0.268 0.584
7 H 0.798 0.540 0.179
8 H 0.821 0.979 0.192
9 S 0.422 0.235 0.802
10 S 0.578 0.765 0.198
11 O 0.187 0.126 0.860
12 O 0.335 0.401 0.864
13 O 0.346 0.812 0.163
14 O 0.431 0.245 0.646
15 O 0.569 0.755 0.354
16 O 0.654 0.188 0.837
17 O 0.665 0.599 0.136
18 O 0.813 0.874 0.140
19 F 0.004 0.453 0.237
20 F 0.120 0.695 0.509
21 F 0.150 0.863 0.734
22 F 0.233 0.065 0.401
23 F 0.349 0.215 0.143
24 F 0.374 0.390 0.373
25 F 0.626 0.610 0.627
26 F 0.651 0.785 0.857
27 F 0.767 0.935 0.599
28 F 0.850 0.137 0.266
29 F 0.880 0.305 0.491
30 F 0.996 0.547 0.763

**Space-group type**: No. 2

=====

(3)
Here is crystalline SbH2SO3F7 at its relaxed geometry from the Alexandria database. Energies are from PBE.

Cell: 6.996 13.593 10.802 Å, 90.00 127.95 90.00°
Atoms (fractional coordinates):
1 Sb 0.010 0.018 0.264
2 Sb 0.010 0.482 0.764
3 Sb 0.990 0.518 0.236
4 Sb 0.990 0.982 0.736
5 H 0.213 0.659 0.010
6 H 0.213 0.841 0.510
7 H 0.437 0.082 0.786
8 H 0.437 0.418 0.286
9 H 0.563 0.582 0.714
10 H 0.563 0.918 0.214
11 H 0.787 0.159 0.490
12 H 0.787 0.341 0.990
13 S 0.494 0.240 0.829
14 S 0.494 0.260 0.329
15 S 0.506 0.740 0.671
16 S 0.506 0.760 0.171
17 O 0.285 0.701 0.113
18 O 0.285 0.799 0.613
19 O 0.395 0.245 0.910
20 O 0.395 0.255 0.410
21 O 0.450 0.640 0.702
22 O 0.450 0.860 0.202
23 O 0.550 0.140 0.798
24 O 0.550 0.360 0.298
25 O 0.605 0.745 0.590
26 O 0.605 0.755 0.090
27 O 0.715 0.201 0.387
28 O 0.715 0.299 0.887
29 F 0.099 0.613 0.865
30 F 0.099 0.887 0.365
31 F 0.105 0.641 0.340
32 F 0.105 0.859 0.840
33 F 0.117 0.050 0.925
34 F 0.117 0.450 0.425
35 F 0.122 0.074 0.460
36 F 0.122 0.426 0.960
37 F 0.307 0.002 0.780
38 F 0.307 0.498 0.280
39 F 0.309 0.219 0.159
40 F 0.309 0.281 0.659
41 F 0.321 0.031 0.315
42 F 0.321 0.469 0.815
43 F 0.679 0.531 0.185
44 F 0.679 0.969 0.685
45 F 0.691 0.719 0.341
46 F 0.691 0.781 0.841
47 F 0.693 0.502 0.720
48 F 0.693 0.998 0.220
49 F 0.878 0.574 0.040
50 F 0.878 0.926 0.540
51 F 0.883 0.550 0.575
52 F 0.883 0.950 0.075
53 F 0.895 0.141 0.160
54 F 0.895 0.359 0.660
55 F 0.901 0.113 0.635
56 F 0.901 0.387 0.135

**Space-group type**: No. 14

=====

(4)
Here is crystalline SbH3OF6 at its relaxed geometry from the Alexandria database. Energies are from PBE.

Cell: 8.883 8.883 8.883 Å, 109.47 109.47 109.47°
Atoms (fractional coordinates):
1 Sb 0.000 0.000 0.500
2 Sb 0.000 0.500 0.000
3 Sb 0.500 0.000 0.000
4 Sb 0.500 0.500 0.500
5 H 0.126 0.635 0.600
6 H 0.374 0.973 0.508
7 H 0.508 0.374 0.973
8 H 0.527 0.900 0.535
9 H 0.535 0.527 0.900
10 H 0.600 0.126 0.635
11 H 0.635 0.600 0.126
12 H 0.865 0.992 0.965
13 H 0.900 0.535 0.527
14 H 0.965 0.865 0.992
15 H 0.973 0.508 0.374
16 H 0.992 0.965 0.865
17 O 0.000 0.529 0.500
18 O 0.500 0.000 0.529
19 O 0.529 0.500 0.000
20 O 0.971 0.971 0.971
21 F 0.032 0.943 0.698
22 F 0.035 0.294 0.961
23 F 0.075 0.539 0.833
24 F 0.165 0.910 0.468
25 F 0.206 0.242 0.667
26 F 0.242 0.667 0.206
27 F 0.258 0.465 0.425
28 F 0.294 0.961 0.035
29 F 0.335 0.802 0.745
30 F 0.425 0.258 0.465
31 F 0.465 0.425 0.258
32 F 0.468 0.165 0.910
33 F 0.539 0.833 0.075
34 F 0.557 0.590 0.755
35 F 0.590 0.755 0.557
36 F 0.667 0.206 0.242
37 F 0.698 0.032 0.943
38 F 0.745 0.335 0.802
39 F 0.755 0.557 0.590
40 F 0.802 0.745 0.335
41 F 0.833 0.075 0.539
42 F 0.910 0.468 0.165
43 F 0.943 0.698 0.032
44 F 0.961 0.035 0.294

**Space-group type**: No. 199

=====

(5)
Here is crystalline SbHOF2 at its relaxed geometry from the Alexandria database. Energies are from PBE.

Cell: 4.323 4.323 3.959 Å, 90.00 90.00 90.00°
Atoms (fractional coordinates):
1 Sb 0.000 0.000 0.000
2 H 0.500 0.500 0.500
3 O 0.000 0.000 0.500
4 F 0.000 0.500 0.000
5 F 0.500 0.000 0.000

**Space-group type**: No. 123
**E above lowest polymorph**: 0 meV/atom

=====

(6)
Here is crystalline SbHOF2 at its relaxed geometry from the Alexandria database. Energies are from PBE.

Cell: 3.373 3.373 4.190 Å, 90.00 90.00 90.00°
Atoms (fractional coordinates):
1 Sb 0.000 0.000 0.000
2 H 0.500 0.500 0.500
3 O 0.500 0.500 0.000
4 F 0.000 0.500 0.500
5 F 0.500 0.000 0.500

**Space-group type**: No. 123
**E above lowest polymorph**: 106 meV/atom

=====

(7)
Here is crystalline ScHOF2 at its relaxed geometry from the Alexandria database. Energies are from PBE.

Cell: 4.062 4.062 4.205 Å, 90.00 90.00 90.00°
Atoms (fractional coordinates):
1 Sc 0.000 0.000 0.000
2 H 0.500 0.500 0.500
3 O 0.000 0.000 0.500
4 F 0.000 0.500 0.000
5 F 0.500 0.000 0.000

**Space-group type**: No. 123
**E above lowest polymorph**: 39 meV/atom

=====

(8)
Here is crystalline ScHO2F at its relaxed geometry from the Alexandria database. Energies are from PBE.

Cell: 4.168 4.168 4.078 Å, 90.00 90.00 90.00°
Atoms (fractional coordinates):
1 Sc 0.000 0.000 0.000
2 H 0.500 0.500 0.500
3 O 0.000 0.500 0.000
4 O 0.500 0.000 0.000
5 F 0.000 0.000 0.500

**Space-group type**: No. 123

=====

(9)
Here is crystalline ScHOF2 at its relaxed geometry from the Alexandria database. Energies are from PBE.

Cell: 3.165 3.165 4.075 Å, 90.00 90.00 90.00°
Atoms (fractional coordinates):
1 Sc 0.000 0.000 0.000
2 H 0.500 0.500 0.500
3 O 0.500 0.500 0.000
4 F 0.000 0.500 0.500
5 F 0.500 0.000 0.500

**Space-group type**: No. 123
**E above lowest polymorph**: 0 meV/atom

=====

(10)
Here is crystalline ScHO2F at its relaxed geometry from the Alexandria database. Energies are from PBE.

Cell: 3.308 3.308 3.563 Å, 90.00 90.00 90.00°
Atoms (fractional coordinates):
1 Sc 0.000 0.000 0.000
2 H 0.500 0.500 0.500
3 O 0.000 0.500 0.500
4 O 0.500 0.000 0.500
5 F 0.500 0.500 0.000

**Space-group type**: No. 123

=====

(11)
Here is crystalline Si2HOF at its relaxed geometry from the Alexandria database. Energies are from PBE.

Cell: 4.765 4.765 2.482 Å, 90.00 90.00 90.00°
Atoms (fractional coordinates):
1 Si 0.000 0.500 0.000
2 Si 0.500 0.000 0.000
3 H 0.000 0.000 0.500
4 O 0.000 0.000 0.000
5 F 0.500 0.500 0.500

**Space-group type**: No. 123

=====

(12)
Here is crystalline SiHO2F at its relaxed geometry from the Alexandria database. Energies are from PBE.

Cell: 3.667 3.667 2.741 Å, 90.00 90.00 90.00°
Atoms (fractional coordinates):
1 Si 0.000 0.000 0.000
2 H 0.500 0.500 0.500
3 O 0.000 0.500 0.500
4 O 0.500 0.000 0.500
5 F 0.500 0.500 0.000

**Space-group type**: No. 123

=====

(13)
Here is crystalline SiHO2F at its relaxed geometry from the Alexandria database. Energies are from PBE.

Cell: 3.413 3.413 3.695 Å, 90.00 90.00 90.00°
Atoms (fractional coordinates):
1 Si 0.000 0.000 0.000
2 H 0.500 0.500 0.500
3 O 0.000 0.500 0.000
4 O 0.500 0.000 0.000
5 F 0.000 0.000 0.500

**Space-group type**: No. 123

=====

(14)
Here is crystalline SiHOF2 at its relaxed geometry from the Alexandria database. Energies are from PBE.

Cell: 3.061 3.061 4.257 Å, 90.00 90.00 90.00°
Atoms (fractional coordinates):
1 Si 0.000 0.000 0.000
2 H 0.500 0.500 0.500
3 O 0.500 0.500 0.000
4 F 0.000 0.500 0.500
5 F 0.500 0.000 0.500

**Space-group type**: No. 123
**E above lowest polymorph**: 1036 meV/atom

=====

(15)
Here is crystalline SiH14O4F6 at its relaxed geometry from the Alexandria database. Energies are from PBE.

Cell: 6.225 13.612 6.373 Å, 90.00 111.83 90.00°
Atoms (fractional coordinates):
1 Si 0.000 0.000 0.000
2 Si 0.000 0.500 0.500
3 H 0.010 0.197 0.278
4 H 0.010 0.303 0.778
5 H 0.046 0.213 0.950
6 H 0.046 0.287 0.450
7 H 0.243 0.160 0.558
8 H 0.243 0.340 0.058
9 H 0.268 0.042 0.516
10 H 0.268 0.458 0.016
11 H 0.299 0.074 0.775
12 H 0.299 0.426 0.275
13 H 0.369 0.678 0.110
14 H 0.369 0.822 0.610
15 H 0.419 0.663 0.232
16 H 0.419 0.837 0.732
17 H 0.581 0.163 0.268
18 H 0.581 0.337 0.768
19 H 0.631 0.178 0.390
20 H 0.631 0.322 0.890
21 H 0.701 0.574 0.725
22 H 0.701 0.926 0.225
23 H 0.732 0.542 0.984
24 H 0.732 0.958 0.484
25 H 0.757 0.660 0.942
26 H 0.757 0.840 0.442
27 H 0.954 0.713 0.550
28 H 0.954 0.787 0.050
29 H 0.990 0.697 0.222
30 H 0.990 0.803 0.722
31 O 0.125 0.233 0.404
32 O 0.125 0.267 0.904
33 O 0.331 0.093 0.636
34 O 0.331 0.407 0.136
35 O 0.669 0.593 0.864
36 O 0.669 0.907 0.364
37 O 0.875 0.733 0.096
38 O 0.875 0.767 0.596
39 F 0.078 0.619 0.459
40 F 0.078 0.881 0.959
41 F 0.128 0.517 0.787
42 F 0.128 0.983 0.287
43 F 0.256 0.043 0.993
44 F 0.256 0.457 0.493
45 F 0.744 0.543 0.507
46 F 0.744 0.957 0.007
47 F 0.872 0.017 0.713
48 F 0.872 0.483 0.213
49 F 0.922 0.119 0.041
50 F 0.922 0.381 0.541

**Space-group type**: No. 14

=====

(16)
Here is crystalline SiHOF2 at its relaxed geometry from the Alexandria database. Energies are from PBE.

Cell: 3.690 3.690 3.263 Å, 90.00 90.00 90.00°
Atoms (fractional coordinates):
1 Si 0.000 0.000 0.000
2 H 0.500 0.500 0.500
3 O 0.000 0.000 0.500
4 F 0.000 0.500 0.000
5 F 0.500 0.000 0.000

**Space-group type**: No. 123
**E above lowest polymorph**: 0 meV/atom

=====

(17)
Here is crystalline ZnSiH12O6F6 at its relaxed geometry from the Alexandria database. Energies are from PBE.

Cell: 6.411 6.411 6.411 Å, 96.55 96.55 96.55°
Atoms (fractional coordinates):
1 Zn 0.000 0.000 0.000
2 Si 0.500 0.500 0.500
3 H 0.058 0.403 0.203
4 H 0.184 0.686 0.797
5 H 0.203 0.058 0.403
6 H 0.203 0.816 0.314
7 H 0.314 0.203 0.816
8 H 0.403 0.203 0.058
9 H 0.597 0.797 0.942
10 H 0.686 0.797 0.184
11 H 0.797 0.184 0.686
12 H 0.797 0.942 0.597
13 H 0.816 0.314 0.203
14 H 0.942 0.597 0.797
15 O 0.061 0.697 0.874
16 O 0.126 0.939 0.303
17 O 0.303 0.126 0.939
18 O 0.697 0.874 0.061
19 O 0.874 0.061 0.697
20 O 0.939 0.303 0.126
21 F 0.292 0.566 0.337
22 F 0.337 0.292 0.566
23 F 0.434 0.663 0.708
24 F 0.566 0.337 0.292
25 F 0.663 0.708 0.434
26 F 0.708 0.434 0.663

**Space-group type**: No. 148

=====

(18)
Here is crystalline SnHOF at its relaxed geometry from the Alexandria database. Energies are from PBE.

Cell: 3.253 3.899 5.232 Å, 94.97 90.44 90.89°
Atoms (fractional coordinates):
1 Sn 0.000 0.000 0.000
2 H 0.514 0.263 0.414
3 O 0.512 0.279 0.225
4 F 0.514 0.218 0.732

**Space-group type**: No. 1

=====

| no. | D(E_F) (states/eV/atom) | electronic total energy (eV per atom) | size of the total moment (μB per cell) |
| --- | --- | --- | --- |
| 1 | 0.41 | -5.258 | 1.2 |
| 2 | 0.00 | -4.966 | 0.1 |
| 3 | 0.00 | -4.834 | 0.3 |
| 4 | 0.00 | -4.650 | 0.5 |
| 5 | 0.11 | -4.235 | 1.0 |
| 6 | 0.00 | -4.129 | 0.0 |
| 7 | 0.49 | -5.655 | 0.0 |
| 8 | 0.90 | -5.552 | 1.0 |
| 9 | 0.00 | -5.694 | 0.0 |
| 10 | 0.24 | -5.760 | 0.7 |
| 11 | 0.34 | -4.492 | 0.0 |
| 12 | 0.25 | -4.138 | 0.7 |
| 13 | 0.26 | -5.330 | 0.5 |
| 14 | 0.27 | -4.070 | 0.0 |
| 15 | 0.00 | -4.761 | 0.0 |
| 16 | 0.00 | -5.106 | 1.0 |
| 17 | 0.00 | -5.012 | 0.0 |
| 18 | 0.00 | -4.996 | 0.0 |